[1]
Material: TbDy2Bi
Method: DFT, PBE
State: relaxed

Summary:
- formation energy (eV per atom) = -0.4224
- energy above the most stable polymorph in this dataset (eV per atom) = 0.000

```
data_TbDy2Bi
_cell_length_a 4.630
_cell_length_b 4.592
_cell_length_c 11.653
_cell_angle_alpha 90.00
_cell_angle_beta 101.47
_cell_angle_gamma 90.00
_symmetry_space_group_name_H-M 'P 1 21/m 1'
_symmetry_Int_Tables_number 11
loop_
_symmetry_equiv_pos_as_xyz
'x,y,z'
'-x,-y,-z'
'-x,y+1/2,-z'
'x,-y+1/2,z'
loop_
_atom_site_label
_atom_site_type_symbol
_atom_site_fract_x
_atom_site_fract_y
_atom_site_fract_z
Tb1 Tb 0.193 0.250 0.384
Dy1 Dy 0.061 0.750 0.122
Dy2 Dy 0.441 0.750 0.882
Bi1 Bi 0.331 0.250 0.663
```

[2]
Material: Th2Si2Tc2H
Method: DFT, PBE
State: relaxed

Summary:
- total energy (eV per atom) = -7.704

```
data_Th2Si2Tc2H
_cell_length_a 4.187
_cell_length_b 4.187
_cell_length_c 14.490
_cell_angle_alpha 90.00
_cell_angle_beta 90.00
_cell_angle_gamma 90.00
_symmetry_space_group_name_H-M 'I 4/m m m'
_symmetry_Int_Tables_number 139
_symmetry_space_group_name_Hall '-I 4 2'
loop_
_atom_site_label
_atom_site_type_symbol
_atom_site_fract_x
_atom_site_fract_y
_atom_site_fract_z
Th1 Th 0.000 0.000 0.159
Si1 Si 0.000 0.000 0.397
Tc1 Tc 0.000 0.500 0.000
H1 H 0.000 0.000 0.000
```

[3]
Material: Pr4Ge2Br5
Method: DFT, PBE
State: relaxed

Summary:
- energy relative to the elements, uncorrected (eV per atom) = -1.36

```
data_Pr4Ge2Br5
_cell_length_a 23.688
_cell_length_b 4.241
_cell_length_c 8.412
_cell_angle_alpha 90.00
_cell_angle_beta 96.57
_cell_angle_gamma 90.00
_symmetry_space_group_name_H-M 'C 1 2/m 1'
_symmetry_Int_Tables_number 12
loop_
_symmetry_equiv_pos_as_xyz
'x,y,z'
'-x,-y,-z'
'-x,y,-z'
'x,-y,z'
'x+1/2,y+1/2,z'
'-x+1/2,-y+1/2,-z'
'-x+1/2,y+1/2,-z'
'x+1/2,-y+1/2,z'
loop_
_atom_site_label
_atom_site_type_symbol
_atom_site_fract_x
_atom_site_fract_y
_atom_site_fract_z
Pr1 Pr 0.013 0.000 0.282
Pr2 Pr 0.162 0.500 0.457
Ge1 Ge 0.051 0.500 0.543
Br1 Br 0.000 0.500 0.000
Br2 Br 0.137 0.000 0.206
Br3 Br 0.219 0.000 0.679
```

[4]
Material: Ce2MnIr
Method: DFT, PBE
State: relaxed

Summary:
- formation energy (eV per atom) = -0.1964

```
data_Ce2MnIr
_cell_length_a 4.854
_cell_length_b 4.854
_cell_length_c 3.574
_cell_angle_alpha 90.00
_cell_angle_beta 90.00
_cell_angle_gamma 90.00
_symmetry_space_group_name_H-M 'P 4/m m m'
_symmetry_Int_Tables_number 123
_symmetry_space_group_name_Hall '-P 4 2'
loop_
_atom_site_label
_atom_site_type_symbol
_atom_site_fract_x
_atom_site_fract_y
_atom_site_fract_z
Ce1 Ce 0.000 0.500 0.000
Mn1 Mn 0.000 0.000 0.500
Ir1 Ir 0.500 0.500 0.500
```

[5]
Material: PrEr2Tl2
Method: DFT, PBE
State: relaxed

Summary:
- formation energy (eV per atom) = -0.2668

```
data_PrEr2Tl2
_cell_length_a 5.251
_cell_length_b 6.885
_cell_length_c 8.666
_cell_angle_alpha 70.53
_cell_angle_beta 89.92
_cell_angle_gamma 89.96
_symmetry_space_group_name_H-M 'P -1'
_symmetry_Int_Tables_number 2
loop_
_symmetry_equiv_pos_as_xyz
'x,y,z'
'-x,-y,-z'
loop_
_atom_site_label
_atom_site_type_symbol
_atom_site_fract_x
_atom_site_fract_y
_atom_site_fract_z
Pr1 Pr 0.250 0.243 0.255
Er1 Er 0.249 0.665 0.462
Er2 Er 0.251 0.831 0.045
Tl1 Tl 0.249 0.427 0.841
Tl2 Tl 0.250 0.083 0.669
```

[6]
Material: NdGdSc2
Method: DFT, PBE
State: relaxed

Summary:
- formation energy (eV per atom) = 0.0514
- energy above the most stable polymorph in this dataset (eV per atom) = 0.000

```
data_NdGdSc2
_cell_length_a 4.993
_cell_length_b 4.993
_cell_length_c 4.610
_cell_angle_alpha 90.00
_cell_angle_beta 90.00
_cell_angle_gamma 90.00
_symmetry_space_group_name_H-M 'P 4/m m m'
_symmetry_Int_Tables_number 123
_symmetry_space_group_name_Hall '-P 4 2'
loop_
_atom_site_label
_atom_site_type_symbol
_atom_site_fract_x
_atom_site_fract_y
_atom_site_fract_z
Nd1 Nd 0.000 0.000 0.000
Gd1 Gd 0.500 0.500 0.000
Sc1 Sc 0.000 0.500 0.500
```

[7]
Material: PmEr5In
Method: DFT, PBE
State: relaxed

Summary:
- formation energy (eV per atom) = 0.0923

```
data_PmEr5In
_cell_length_a 6.198
_cell_length_b 6.452
_cell_length_c 11.031
_cell_angle_alpha 90.00
_cell_angle_beta 90.00
_cell_angle_gamma 90.00
_symmetry_space_group_name_H-M 'I m m 2'
_symmetry_Int_Tables_number 44
loop_
_symmetry_equiv_pos_as_xyz
'x,y,z'
'-x,-y,z'
'-x,y,z'
'x,-y,z'
'x+1/2,y+1/2,z+1/2'
'-x+1/2,-y+1/2,z+1/2'
'-x+1/2,y+1/2,z+1/2'
'x+1/2,-y+1/2,z+1/2'
loop_
_atom_site_label
_atom_site_type_symbol
_atom_site_fract_x
_atom_site_fract_y
_atom_site_fract_z
Pm1 Pm 0.000 0.000 0.000
Er1 Er 0.000 0.237 0.611
Er2 Er 0.000 0.500 0.357
Er3 Er 0.246 0.000 0.338
In1 In 0.000 0.500 0.086
```

[8]
Material: Tb3Er3ScTe8
Method: DFT, PBE
State: relaxed

Summary:
- energy relative to the elements, uncorrected (eV per atom) = -1.32

```
data_Tb3Er3ScTe8
_cell_length_a 8.6388
_cell_length_b 8.6388
_cell_length_c 21.1926
_cell_angle_alpha 90.00
_cell_angle_beta 90.00
_cell_angle_gamma 120.00
_symmetry_space_group_name_H-M 'R -3 m'
_symmetry_Int_Tables_number 166
_symmetry_space_group_name_Hall '-R 3 2"'
loop_
_atom_site_label
_atom_site_type_symbol
_atom_site_fract_x
_atom_site_fract_y
_atom_site_fract_z
Tb1 Tb 0.0000 0.5000 0.0000
Er1 Er 0.0000 0.5000 0.5000
Sc1 Sc 0.0000 0.0000 0.5000
Te1 Te 0.0000 0.0000 0.2485
Te2 Te 0.0000 0.5000 0.2485
```

[9]
Material: Pu3P2Se
Method: DFT, PBE
State: relaxed

Summary:
- energy relative to the elements, uncorrected (eV per atom) = -1.30
- energy above the most stable polymorph in this dataset (eV per atom) = 0.000

```
data_Pu3P2Se
_cell_length_a 4.051
_cell_length_b 5.737
_cell_length_c 12.214
_cell_angle_alpha 90.00
_cell_angle_beta 90.00
_cell_angle_gamma 90.00
_symmetry_space_group_name_H-M 'I m m m'
_symmetry_Int_Tables_number 71
_symmetry_space_group_name_Hall '-I 2 2'
loop_
_atom_site_label
_atom_site_type_symbol
_atom_site_fract_x
_atom_site_fract_y
_atom_site_fract_z
Pu1 Pu 0.000 0.000 0.000
Pu2 Pu 0.000 0.000 0.325
P1 P 0.000 0.500 0.337
Se1 Se 0.000 0.500 0.000
```

[10]
Material: ReBSe2
Method: DFT, PBE
State: relaxed

Summary:
- energy relative to the elements, uncorrected (eV per atom) = 0.64

```
data_ReBSe2
_cell_length_a 5.356
_cell_length_b 5.356
_cell_length_c 9.636
_cell_angle_alpha 90.00
_cell_angle_beta 90.00
_cell_angle_gamma 90.00
_symmetry_space_group_name_H-M 'I -4 2 d'
_symmetry_Int_Tables_number 122
_symmetry_space_group_name_Hall 'I -4 2bw'
loop_
_atom_site_label
_atom_site_type_symbol
_atom_site_fract_x
_atom_site_fract_y
_atom_site_fract_z
Re1 Re 0.000 0.000 0.000
B1 B 0.000 0.000 0.500
Se1 Se 0.198 0.250 0.625
```

[11]
Material: YIr2Pt
Method: DFT, PBE
State: relaxed

Summary:
- formation energy (eV per atom) = -0.3590
- energy above the most stable polymorph in this dataset (eV per atom) = 0.191

```
data_YIr2Pt
_cell_length_a 2.937
_cell_length_b 3.977
_cell_length_c 5.980
_cell_angle_alpha 90.00
_cell_angle_beta 90.00
_cell_angle_gamma 90.00
_symmetry_space_group_name_H-M 'P m m 2'
_symmetry_Int_Tables_number 25
loop_
_symmetry_equiv_pos_as_xyz
'x,y,z'
'-x,-y,z'
'-x,y,z'
'x,-y,z'
loop_
_atom_site_label
_atom_site_type_symbol
_atom_site_fract_x
_atom_site_fract_y
_atom_site_fract_z
Y1 Y 0.000 0.000 0.000
Ir1 Ir 0.000 0.000 0.477
Ir2 Ir 0.500 0.500 0.294
Pt1 Pt 0.500 0.500 0.736
```

[12]
Material: RbPdI2Br6
Method: DFT, PBE
State: relaxed

Summary:
- energy relative to the elements, uncorrected (eV per atom) = -0.43

```
data_RbPdI2Br6
_cell_length_a 7.767
_cell_length_b 8.439
_cell_length_c 8.502
_cell_angle_alpha 94.72
_cell_angle_beta 113.78
_cell_angle_gamma 117.10
_symmetry_space_group_name_H-M 'P 1'
_symmetry_Int_Tables_number 1
loop_
_symmetry_equiv_pos_as_xyz
'x,y,z'
loop_
_atom_site_label
_atom_site_type_symbol
_atom_site_fract_x
_atom_site_fract_y
_atom_site_fract_z
Rb1 Rb 0.000 0.000 0.000
Pd1 Pd 0.208 0.589 0.739
I1 I 0.820 0.818 0.364
I2 I 0.921 0.421 0.118
Br1 Br 0.183 0.870 0.671
Br2 Br 0.269 0.338 0.833
Br3 Br 0.490 0.678 0.639
Br4 Br 0.510 0.841 0.084
Br5 Br 0.881 0.332 0.402
Br6 Br 0.886 0.493 0.799
```

Number 7 is which compound?
PmEr5In